Material: CoPt
Method: DFT, GGA-PBE
State: optimized geometry

abc: 6.5424 6.5424 6.5424
angles: 90.00 90.00 90.00
Last column: nearest neighbours and their distance in Å.
Space group Pm-3n (No. 223)
One atom of each set of equivalent atoms:
1 Co 0.0000 0.2500 0.5000  4 Pt 2.31
2 Pt 0.0000 0.5000 0.2500  4 Co 2.31

## Properties
**Total DFT energy (no corrections)**: -66.6 eV per cell



Material: CoPt3
Method: DFT, GGA-PBE
State: optimized geometry

abc: 9.0835 2.7639 4.7711
angles: 90.00 100.54 90.00
Last column: nearest neighbours and their distance in Å.
Space group C2/m (No. 12)
One atom of each set of equivalent atoms:
1 Co 0.0000 0.0000 0.0000  10 Pt 2.69-2.78, 2 Co 2.76
2 Pt 0.0000 0.5000 0.5000  8 Pt 2.72-2.79, 4 Co 2.76
3 Pt 0.2438 0.5000 0.2428  3 Co 2.69-2.78, 9 Pt 2.72-2.80

## Properties
**Total DFT energy (no corrections)**: -50.9 eV per cell



Material: CoPt2
Method: DFT, GGA-PBE
State: optimized geometry

abc: 7.3211 7.3211 7.3211
angles: 90.00 90.00 90.00
Last column: nearest neighbours and their distance in Å.
Space group Fd-3m (No. 227, origin choice 2)
One atom of each set of equivalent atoms:
1 Co 0.1250 0.1250 0.1250  12 Pt 3.04, 4 Co 3.17
2 Pt 0.0000 0.0000 0.5000  6 Pt 2.59

## Properties
**Total DFT energy (no corrections)**: -143.8 eV per cell



Material: CoPt3
Method: DFT, GGA-PBE
State: optimized geometry

abc: 2.7570 2.7570 8.9920
angles: 90.00 90.00 120.00
Last column: nearest neighbours and their distance in Å.
Space group P-6m2 (No. 187)
One atom of each set of equivalent atoms:
1 Co 0.0000 0.0000 0.0000  6 Pt 2.61, 6 Co 2.76
2 Pt 0.0000 0.0000 0.5000  12 Pt 2.76-2.90
3 Pt 0.3333 0.6667 0.2303  3 Co 2.61, 9 Pt 2.76-2.90

## Properties
**Total DFT energy (no corrections)**: -25.4 eV per cell